Compound: TbY2HfN4
Source: Alexandria via LeMat-Bulk
Functional: PBE
Structure: optimized geometry

The structure belongs to space group P2/m (No. 10); the cell edges are 5.893, 3.395 and 5.900 Å and the angles 90.00°, 109.20° and 90.00°. The distinct sites, in fractional coordinates, are Tb at (0.000, 0.000, 0.000), Y at (0.500, 0.000, 0.500), Y at (0.500, 0.500, 0.000), Hf at (0.000, 0.500, 0.500), N at (0.232, 0.000, 0.731) and N at (0.239, 0.500, 0.262).

As for the energy relative to the elements, uncorrected: -1.731 eV per atom. As for the total DFT energy (no corrections): -9.333 eV per atom.

=====

Compound: Ba2MnTe
Source: Alexandria via LeMat-Bulk
Functional: PBE
Structure: optimized geometry

The structure belongs to space group Pmm2 (No. 25); the cell edges are 4.317, 5.845 and 5.843 Å and the angles 90.00°, 90.00° and 90.00°. The distinct sites, in fractional coordinates, are Ba at (0.000, 0.000, 0.000), Ba at (0.000, 0.500, 0.499), Mn at (0.500, 0.000, 0.500) and Te at (0.500, 0.500, 0.999).

As for the energy relative to the elements, uncorrected: -0.362 eV per atom. As for the total DFT energy (no corrections): -4.401 eV per atom.

=====

Compound: CrFe4As
Source: Alexandria via LeMat-Bulk
Functional: PBE
Structure: optimized geometry

The structure belongs to space group F-43m (No. 216); the cell edges are 6.680, 6.680 and 6.680 Å and the angles 90.00°, 90.00° and 90.00°. The distinct sites, in fractional coordinates, are Cr at (0.000, 0.000, 0.000), Fe at (0.126, 0.126, 0.626) and As at (0.250, 0.250, 0.250).

The energy of formation from the pure elements comes out at 29.48 kJ per mole of atoms. As for the total DFT energy (no corrections): -7.715 eV per atom.

=====

Compound: PaTi2Nb
Source: Alexandria via LeMat-Bulk
Functional: PBE
Structure: optimized geometry

The structure belongs to space group P4/mmm (No. 123); the cell edges are 4.012, 4.012 and 4.855 Å and the angles 90.00°, 90.00° and 90.00°. The distinct sites, in fractional coordinates, are Pa at (0.000, 0.000, 0.000), Ti at (0.000, 0.500, 0.500) and Nb at (0.500, 0.500, 0.000).

The energy of formation from the pure elements comes out at 16.83 kJ per mole of atoms. The calculation puts the energy above the most stable polymorph in this dataset at 170 meV/atom. As for the total DFT energy (no corrections): -8.664 eV per atom.

=====

Compound: TbCeNi2P2
Source: Alexandria via LeMat-Bulk
Functional: PBE
Structure: optimized geometry

The structure belongs to space group P-3m1 (No. 164); the cell edges are 3.9265, 3.9265 and 7.8197 Å and the angles 90.00°, 90.00° and 120.00°. The distinct sites, in fractional coordinates, are Tb at (0.0000, 0.0000, 0.0000), Ce at (0.0000, 0.0000, 0.5000), Ni at (0.3333, 0.6667, 0.2584) and P at (0.3333, 0.6667, 0.7581).

The energy of formation from the pure elements comes out at -115.75 kJ per mole of atoms. As for the total DFT energy (no corrections): -6.691 eV per atom.